1.
Compound: Ac3In3Pd2
Source: Alexandria via LeMat-Bulk
Functional: GGA-PBE
Structure: relaxed

Computed properties:
The density of states at the Fermi level is 22.32 states/eV/cell. For the energy of formation from the pure elements, the calculation gives -620 meV/atom. As for the total moment: 0.00 μB/f.u. The calculation puts the total energy at -143.5 eV/cell. The calculated volume comes out at 28.771 Å³ per atom. The value obtained for the density is 8934 kg/m3. The distance to the lowest polymorph of the same formula comes out at 0.0077 eV per atom.

```
Ac3In3Pd2
1.0
6.0456 0.0000 0.0000
0.0000 8.8885 0.0000
0.0000 0.0000 17.1329
In Ac Pd
12 12 8
Cartesian
3.6552 2.8258 0.5902 In
5.4132 7.2701 7.9762 In
2.3904 6.0627 16.5426 In
2.2979 5.9946 4.2832 In
3.7477 2.8939 12.8496 In
5.3206 7.3382 12.8496 In
0.6324 1.6184 16.5426 In
5.4132 7.2701 0.5902 In
3.6552 2.8258 7.9762 In
2.3904 6.0627 9.1567 In
0.6324 1.6184 9.1567 In
0.7249 1.5503 4.2832 In
5.3596 4.7581 10.4410 Ac
2.2682 5.9622 12.8496 Ac
0.7546 1.5179 12.8496 Ac
0.6859 4.1304 6.6919 Ac
0.6859 4.1304 1.8746 Ac
3.7087 0.3138 10.4410 Ac
3.7087 0.3138 15.2583 Ac
2.3369 8.5747 6.6919 Ac
2.3369 8.5747 1.8746 Ac
5.2909 7.3706 4.2832 Ac
3.7774 2.9263 4.2832 Ac
5.3596 4.7581 15.2583 Ac
5.2900 0.9039 1.9159 Pd
0.7555 7.9846 10.4824 Pd
5.2900 0.9039 6.6505 Pd
2.2673 3.5403 10.4824 Pd
3.7783 5.3482 1.9159 Pd
2.2673 3.5403 15.2169 Pd
3.7783 5.3482 6.6505 Pd
0.7555 7.9846 15.2169 Pd
```



2.
Compound: Ba2ThW2N6
Source: Alexandria via LeMat-Bulk
Functional: GGA-PBE
Structure: relaxed

Computed properties:
The density of states at the Fermi level is 0.00 states/eV/cell. As for the total moment: 0.00 μB/f.u. The calculation puts the total energy at -97.6 eV/cell. The calculated volume comes out at 19.455 Å³ per atom. The value obtained for the density is 7437 kg/m3.

```
Ba2ThW2N6
1.0
-2.0421 -4.5143 -3.8632
6.0769 0.1778 1.6888
-4.9016 -2.1267 5.0762
N Ba W Th
6 2 2 1
Cartesian
-4.8633 -5.2598 1.0020 N
3.9964 -1.2034 1.8999 N
2.9547 -3.5063 -0.0708 N
-3.8216 -2.9569 2.9727 N
-1.4930 -4.6685 1.1357 N
0.6261 -1.7946 1.7662 N
0.2114 -3.5241 -1.1026 Ba
-1.0783 -2.9391 4.0045 Ba
-0.2468 -5.8357 1.8409 W
-0.6201 -0.6275 1.0610 W
-3.4719 -3.3205 0.6065 Th
```



3.
Compound: CaTaMo2
Source: Alexandria via LeMat-Bulk
Functional: GGA-PBE
Structure: relaxed

Computed properties:
The density of states at the Fermi level is 4.89 states/eV/cell. For the energy of formation from the pure elements, the calculation gives 802 meV/atom. As for the total moment: 0.33 μB/f.u. The calculation puts the total energy at -32.3 eV/cell. The calculated volume comes out at 18.455 Å³ per atom. The value obtained for the density is 9288 kg/m3. The distance to the lowest polymorph of the same formula comes out at 0.3750 eV per atom.

```
CaTaMo2
1.0
3.2545 0.0000 0.0000
0.0000 4.8578 0.0000
0.0000 0.0000 4.6693
Mo Ta Ca
2 1 1
Cartesian
0.0000 0.0000 0.0000 Mo
1.6272 2.4289 0.0000 Mo
1.6272 0.0000 2.3347 Ta
0.0000 2.4289 2.3347 Ca
```



4.
Compound: CsEuPt4
Source: Alexandria via LeMat-Bulk
Functional: GGA-PBE
Structure: relaxed

Computed properties:
The density of states at the Fermi level is 18.24 states/eV/cell. For the energy of formation from the pure elements, the calculation gives -415 meV/atom. As for the total moment: 6.68 μB/f.u. The calculation puts the total energy at -37.8 eV/cell. The calculated volume comes out at 20.899 Å³ per atom. The value obtained for the density is 14106 kg/m3.

```
CsEuPt4
1.0
-0.7294 -4.9624 -2.5311
3.0909 -1.3416 -4.4956
3.9611 -3.9645 0.3959
Pt Eu Cs
4 1 1
Cartesian
4.3211 -3.9316 -2.8769 Pt
1.9661 -4.4326 -4.3465 Pt
3.9549 -6.4231 -4.1477 Pt
2.4030 -5.7495 -1.8905 Pt
0.0000 0.0000 0.0000 Eu
1.5806 -2.5671 -1.6577 Cs
```



5.
Compound: Ac2UPtRh6
Source: Alexandria via LeMat-Bulk
Functional: GGA-PBE
Structure: relaxed

Computed properties:
The density of states at the Fermi level is 7.70 states/eV/cell. For the energy of formation from the pure elements, the calculation gives -426 meV/atom. As for the total moment: 0.00 μB/f.u. The calculation puts the total energy at -73.9 eV/cell. The calculated volume comes out at 22.451 Å³ per atom. The value obtained for the density is 11128 kg/m3.

```
Ac2UPtRh6
1.0
5.6631 0.0714 0.0526
-0.1254 8.4965 1.9525
2.7049 5.7218 5.9978
Rh Ac Pt U
6 2 1 1
Cartesian
1.3735 2.2665 0.5979 Rh
4.2261 2.3057 0.6269 Rh
2.7373 4.8689 3.4189 Rh
5.5053 9.4208 4.5841 Rh
6.8690 12.0232 7.4051 Rh
4.0164 11.9840 7.3761 Rh
2.6918 8.3772 3.8664 Ac
5.5507 5.9124 4.1365 Ac
0.0000 0.0000 0.0000 Pt
2.7688 4.2840 1.0026 U
```



6.
Compound: LiO2F2
Source: Alexandria via LeMat-Bulk
Functional: GGA-PBE
Structure: relaxed

Computed properties:
The density of states at the Fermi level is 4.84 states/eV/cell. As for the total moment: 5.00 μB/f.u. The calculation puts the total energy at -15.2 eV/cell. The calculated volume comes out at 11.750 Å³ per atom. The value obtained for the density is 2175 kg/m3. The distance to the lowest polymorph of the same formula comes out at 1.2291 eV per atom.

```
LiO2F2
1.0
-0.2550 -1.8007 3.6692
-2.1593 -3.0620 -1.6528
2.9686 -1.7430 -0.6491
F Li O
2 1 2
Cartesian
1.4843 -0.8715 -0.3245 F
0.2771 -3.3029 0.6836 F
0.0000 0.0000 0.0000 Li
-1.0797 -1.5310 -0.8264 O
-0.1275 -0.9003 1.8346 O
```